Entry 1:
YSeNO2 | GGA-PBE | optimized geometry

Values from the calculation:
**Density of states at the Fermi level**: 5.100 states/eV per cell
**ΔE_f (raw)**: 0.0256 eV per atom
**DFT total energy**: -28.1 eV for the cell shown
**Volume**: 88 Å³ per cell
**Magnetic moment**: 2.571 μB per formula unit

Lattice parameters (Å, degrees): 4.263 4.263 4.847 90.00 90.00 90.00
Last column: magnetic moment on the atom in μB.
Atoms (fractional coordinates):
Y 0.000 0.000 0.000  -0.01
N 0.000 0.000 0.500  -0.19
O 0.500 0.000 0.000  -0.58
O 0.000 0.500 0.000  -0.58
Se 0.500 0.500 0.500  -0.61

***

Entry 2:
YSeNO2 | GGA-PBE | optimized geometry

Values from the calculation:
**Density of states at the Fermi level**: 0.277 states/eV per cell
**ΔE_f (raw)**: -0.8055 eV per atom
**DFT total energy**: -32.2 eV for the cell shown
**Volume**: 63 Å³ per cell
**Magnetic moment**: 0.000 μB per formula unit

Lattice parameters (Å, degrees): 3.945 3.945 4.063 90.00 90.00 90.00
Atoms (fractional coordinates):
N 0.000 0.000 0.500
Se 0.000 0.000 0.000
O 0.500 0.000 0.000
O 0.000 0.500 0.000
Y 0.500 0.500 0.500

***

Entry 3:
ZnSeNO2 | GGA-PBE | optimized geometry

Values from the calculation:
**Density of states at the Fermi level**: 3.603 states/eV per cell
**ΔE_f (raw)**: 0.8879 eV per atom
**DFT total energy**: -18.6 eV for the cell shown
**Volume**: 57 Å³ per cell
**Magnetic moment**: 0.034 μB per formula unit

Lattice parameters (Å, degrees): 3.772 3.772 4.042 90.00 90.00 90.00
Atoms (fractional coordinates):
N 0.000 0.000 0.500
O 0.000 0.500 0.000
Zn 0.000 0.000 0.000
Se 0.500 0.500 0.500
O 0.500 0.000 0.000

***

Entry 4:
ZnSe2NO | GGA-PBE | optimized geometry

Values from the calculation:
**Density of states at the Fermi level**: 1.816 states/eV per cell
**ΔE_f (raw)**: 1.1940 eV per atom
**E above lowest polymorph**: 0.00 eV/f.u.
**DFT total energy**: -15.6 eV for the cell shown
**Volume**: 77 Å³ per cell
**Magnetic moment**: 1.721 μB per formula unit

Lattice parameters (Å, degrees): 4.448 4.448 3.909 90.00 90.00 90.00
Last column: magnetic moment on the atom in μB.
Atoms (fractional coordinates):
Se 0.500 0.000 0.000  0.09
N 0.000 0.000 0.500  1.08
O 0.000 0.000 0.000  -0.03
Zn 0.500 0.500 0.500  0.00
Se 0.000 0.500 0.000  0.09